Here is an optimized crystal structure of CaDyBi2 from the Alexandria database. Energies are from PBE-GGA.

Cell: 4.1346 4.1346 7.0883 Å, 90.00 90.00 90.00°
Sites, in units of the cell vectors:
Ca  0.0000  0.0000  0.0000
Dy  0.0000  0.0000  0.5000
Bi  0.5000  0.5000  0.2604
Bi  0.5000  0.5000  0.7396

Results
The density comes out at 8504 kg/m³. Its symmetry is P4/mmm, No. 123. For the formation energy, the calculation gives -0.653 eV per atom.